A plane-wave DFT calculation with PBE was carried out for a geometry-optimized Sn3Te3Cl structure.

Cell: 9.6354 9.6354 6.1235 Å, 90.00 90.00 120.00°
With the nearest neighbours (Å) after each atom.
Space group P6_3/m (No. 176)
Asymmetric unit:
Sn 0.0309 0.3808 0.2500 (multiplicity 6)  1 Cl 2.84, 4 Te 3.04-3.17
Te 0.0547 0.3554 0.7500 (multiplicity 6)  4 Sn 3.04-3.17
Cl 0.3333 0.6667 0.2500 (multiplicity 2)  3 Sn 2.84

* size of the total moment: 0.000 μB per cell
* DOS(E_F): 0.27 states/eV per atom
* V: 492.3 Å³ per cell
* E_form (uncorrected): -0.329 eV/atom


A plane-wave DFT calculation with PBE was carried out for a geometry-optimized KTl2W structure.

Cell: 3.0418 4.3231 7.8636 Å, 90.00 90.10 90.00°
With the nearest neighbours (Å) after each atom.
Space group P2/m (No. 10)
Asymmetric unit:
K 0.0000 0.0000 0.0000 (multiplicity 1)  2 K 3.04
Tl 0.5000 0.5000 0.3037 (multiplicity 2)  3 Tl 3.04-3.09, 4 W 3.06
W 0.0000 0.0000 0.5000 (multiplicity 1)  2 W 3.04, 8 Tl 3.06

* size of the total moment: 1.158 μB per cell
* calculated formation energy: 0.768 eV/atom
* DOS(E_F): 0.63 states/eV per atom
* distance to the lowest polymorph of the same formula: 96.6 meV per atom
* V: 103.4 Å³ per cell


A plane-wave DFT calculation with PBE was carried out for a geometry-optimized ReHgSe4 structure.

Cell: 8.1354 8.1354 8.1354 Å, 90.00 90.00 90.00°
With the nearest neighbours (Å) after each atom.
Space group F-43m (No. 216)
Asymmetric unit:
Re 0.0000 0.0000 0.0000 (multiplicity 4)  12 Se 3.37, 4 Hg 3.52
Hg 0.2500 0.2500 0.2500 (multiplicity 4)  12 Se 3.38, 4 Re 3.52
Se 0.1259 0.1259 0.6259 (multiplicity 16)  6 Se 2.85-2.90

* size of the total moment: 18.355 μB per cell
* DOS(E_F): 0.82 states/eV per atom
* V: 538.4 Å³ per cell
* E_form (uncorrected): 1.239 eV/atom


A plane-wave DFT calculation with PBE was carried out for a geometry-optimized InGa2TcSn structure.

Cell: 4.9195 4.9195 5.1809 Å, 90.00 90.00 90.00°
With the nearest neighbours (Å) after each atom.
Space group P4/mmm (No. 123)
Asymmetric unit:
In 0.0000 0.0000 0.0000 (multiplicity 1)  4 Sn 3.48, 8 Ga 3.57
Ga 0.0000 0.5000 0.5000 (multiplicity 2)  2 Tc 2.46
Tc 0.5000 0.5000 0.5000 (multiplicity 1)  4 Ga 2.46, 2 Sn 2.59
Sn 0.5000 0.5000 0.0000 (multiplicity 1)  2 Tc 2.59

* size of the total moment: 0.000 μB per cell
* calculated formation energy: 0.092 eV/atom
* DOS(E_F): 0.19 states/eV per atom
* V: 125.4 Å³ per cell


A plane-wave DFT calculation with PBE was carried out for a geometry-optimized HoMnCoCu structure.

Cell: 6.3539 6.3539 6.3539 Å, 90.00 90.00 90.00°
With the nearest neighbours (Å) after each atom.
Space group F-43m (No. 216)
Asymmetric unit:
Ho 0.0000 0.0000 0.0000 (multiplicity 4)  4 Co 2.75, 4 Cu 2.75
Mn 0.0000 0.0000 0.5000 (multiplicity 4)  4 Co 2.75, 4 Cu 2.75
Co 0.2500 0.2500 0.2500 (multiplicity 4)  4 Mn 2.75, 4 Ho 2.75
Cu 0.2500 0.2500 0.7500 (multiplicity 4)  4 Mn 2.75, 4 Ho 2.75

* size of the total moment: 19.065 μB per cell
* calculated formation energy: 0.029 eV/atom
* DOS(E_F): 0.73 states/eV per atom
* V: 256.5 Å³ per cell


A plane-wave DFT calculation with PBE was carried out for a geometry-optimized BaSr3Ca4 structure.

Cell: 13.5180 8.2834 7.0522 Å, 90.00 90.00 90.00°
With the nearest neighbours (Å) after each atom.
Space group Pmn2_1 (No. 31)
Asymmetric unit:
Ba 0.0000 0.1221 0.0000 (multiplicity 2)  8 Ca 4.04-4.14, 4 Sr 4.10-4.19
Sr 0.0000 0.6278 0.0074 (multiplicity 2)  6 Ca 4.02-4.16, 2 Ba 4.10-4.19, 4 Sr 4.13-4.19
Sr 0.2442 0.6294 0.6557 (multiplicity 4)  7 Ca 4.05-4.24, 4 Sr 4.13-4.19, 1 Ba 4.17
Ca 0.0000 0.3733 0.5044 (multiplicity 2)  4 Ca 4.05-4.18, 6 Sr 4.07-4.24, 2 Ba 4.07-4.12
Ca 0.0000 0.8777 0.4962 (multiplicity 2)  4 Sr 4.02-4.16, 6 Ca 4.04-4.21, 2 Ba 4.04-4.09
Ca 0.2449 0.1220 0.6535 (multiplicity 4)  5 Ca 4.04-4.21, 5 Sr 4.07-4.20, 2 Ba 4.12-4.14

* size of the total moment: 0.000 μB per cell
* calculated formation energy: 0.026 eV/atom
* DOS(E_F): 1.18 states/eV per atom
* distance to the lowest polymorph of the same formula: 0.0 meV per atom
* V: 789.7 Å³ per cell


A plane-wave DFT calculation with PBE was carried out for a geometry-optimized CaSbI2O structure.

Cell: 5.8142 5.8142 6.3441 Å, 90.00 90.00 90.00°
With the nearest neighbours (Å) after each atom.
Space group P4/mmm (No. 123)
Asymmetric unit:
Ca 0.0000 0.0000 0.0000 (multiplicity 1)  4 I 2.91, 2 Sb 3.17
Sb 0.0000 0.0000 0.5000 (multiplicity 1)  2 Ca 3.17
I 0.0000 0.5000 0.0000 (multiplicity 2)  2 Ca 2.91
O 0.5000 0.5000 0.5000 (multiplicity 1)  4 Sb 4.11, 8 I 4.30

* size of the total moment: 0.000 μB per cell
* DOS(E_F): 3.38 states/eV per atom
* distance to the lowest polymorph of the same formula: 1124.4 meV per atom
* V: 214.5 Å³ per cell
* E_form (uncorrected): 0.463 eV/atom


A plane-wave DFT calculation with PBE was carried out for a geometry-optimized Tb2Ga12Ni structure.

Cell: 6.0445 6.0445 15.2944 Å, 90.00 90.00 90.00°
With the nearest neighbours (Å) after each atom.
Space group P4/nbm (No. 125, origin choice 2)
Asymmetric unit:
Tb 0.2500 0.7500 0.2410 (multiplicity 4)  14 Ga 3.14-3.41
Ga 0.0003 0.9997 0.0847 (multiplicity 8)  2 Ni 2.50, 3 Ga 2.59-2.63
Ga 0.0835 0.5835 0.4302 (multiplicity 8)  4 Ga 2.57-2.85
Ga 0.2500 0.2500 0.1851 (multiplicity 4)  5 Ga 2.43-2.63
Ga 0.2500 0.2500 0.3439 (multiplicity 4)  5 Ga 2.43-2.61
Ni 0.2500 0.7500 0.0000 (multiplicity 2)  8 Ga 2.50

* size of the total moment: 0.000 μB per cell
* calculated formation energy: -0.365 eV/atom
* DOS(E_F): 0.33 states/eV per atom
* V: 558.8 Å³ per cell


Question: What is the size of the total moment in the third record?
Answer: 18.355 μB per cell